## i
Here is Mg2ZnCuH after structural relaxation from Alexandria via LeMat-Bulk. Energies are from GGA-PBE.

Cell lengths 4.271, 4.271, 3.816 Å; angles 90.00, 90.00, 90.00 degrees
Fractional positions:
Mg 0.000 0.500 0.000
Mg 0.500 0.000 0.000
Zn 0.000 0.000 0.500
Cu 0.500 0.500 0.500
H 0.000 0.000 0.000

Results
The crystal system is tetragonal.


## ii
Here is Mg2ZnCuH after structural relaxation from Alexandria via LeMat-Bulk. Energies are from GGA-PBE.

Cell lengths 4.609, 4.609, 3.318 Å; angles 90.00, 90.00, 90.00 degrees
Fractional positions:
Mg 0.000 0.500 0.000
Mg 0.500 0.000 0.000
Zn 0.000 0.000 0.500
Cu 0.500 0.500 0.500
H 0.500 0.500 0.000

Results
The crystal system is tetragonal.


Stability, descending: ii, i


## i
Here is MgZr2CuH after structural relaxation from Alexandria via LeMat-Bulk. Energies are from GGA-PBE.

Cell lengths 4.464, 4.464, 3.970 Å; angles 90.00, 90.00, 90.00 degrees
Fractional positions:
Mg 0.000 0.000 0.000
Zr 0.000 0.500 0.500
Zr 0.500 0.000 0.500
Cu 0.500 0.500 0.000
H 0.500 0.500 0.500

Results
The crystal system is tetragonal.


## ii
Here is MgZr2CuH after structural relaxation from Alexandria via LeMat-Bulk. Energies are from GGA-PBE.

Cell lengths 4.283, 4.283, 4.353 Å; angles 90.00, 90.00, 90.00 degrees
Fractional positions:
Mg 0.000 0.000 0.000
Zr 0.000 0.500 0.500
Zr 0.500 0.000 0.500
Cu 0.500 0.500 0.000
H 0.000 0.000 0.500

Results
The crystal system is tetragonal.


Stability, descending: i, ii


## i
Here is MnCu2H2 after structural relaxation from Alexandria via LeMat-Bulk. Energies are from GGA-PBE.

Cell lengths 4.785, 4.785, 4.785 Å; angles 136.81, 136.81, 62.73 degrees
Fractional positions:
Mn 0.000 0.000 0.000
Cu 0.250 0.750 0.500
Cu 0.750 0.250 0.500
H 0.325 0.325 0.000
H 0.675 0.675 0.000

Results
The crystal system is tetragonal.


## ii
Here is MnCu2H2 after structural relaxation from Alexandria via LeMat-Bulk. Energies are from GGA-PBE.

Cell lengths 4.979, 4.979, 3.702 Å; angles 90.00, 90.00, 90.00 degrees
Fractional positions:
Mn 0.000 0.000 0.000
Mn 0.500 0.500 0.000
Cu 0.185 0.315 0.500
Cu 0.315 0.815 0.500
Cu 0.685 0.185 0.500
Cu 0.815 0.685 0.500
H 0.186 0.314 0.000
H 0.314 0.814 0.000
H 0.686 0.186 0.000
H 0.814 0.686 0.000

Results
The crystal system is tetragonal.


Stability, descending: ii, i


## i
Here is Mn2CuH2 after structural relaxation from Alexandria via LeMat-Bulk. Energies are from GGA-PBE.

Cell lengths 4.586, 4.586, 4.586 Å; angles 140.45, 140.45, 57.17 degrees
Fractional positions:
Mn 0.159 0.159 0.000
Mn 0.841 0.841 0.000
Cu 0.500 0.500 0.000
H 0.250 0.750 0.500
H 0.750 0.250 0.500

Results
The crystal system is tetragonal.


## ii
Here is Mn2CuH2 after structural relaxation from Alexandria via LeMat-Bulk. Energies are from GGA-PBE.

Cell lengths 5.498, 5.498, 2.596 Å; angles 90.00, 90.00, 90.00 degrees
Fractional positions:
Mn 0.131 0.369 0.000
Mn 0.369 0.869 0.000
Mn 0.631 0.131 0.000
Mn 0.869 0.631 0.000
Cu 0.000 0.000 0.500
Cu 0.500 0.500 0.500
H 0.155 0.655 0.500
H 0.345 0.155 0.500
H 0.655 0.845 0.500
H 0.845 0.345 0.500

Results
The crystal system is tetragonal.


Stability, descending: i, ii


## i
Here is MnCuH2 after structural relaxation from Alexandria via LeMat-Bulk. Energies are from GGA-PBE.

Cell lengths 5.057, 5.057, 5.057 Å; angles 134.54, 134.54, 66.25 degrees
Fractional positions:
Mn 0.000 0.000 0.000
Mn 0.750 0.250 0.500
Cu 0.250 0.750 0.500
Cu 0.500 0.500 0.000
H 0.115 0.625 0.990
H 0.375 0.365 0.490
H 0.635 0.125 0.010
H 0.875 0.885 0.510

Results
The crystal system is tetragonal.


## ii
Here is MnCuH2 after structural relaxation from Alexandria via LeMat-Bulk. Energies are from GGA-PBE.

Cell lengths 5.108, 5.108, 5.108 Å; angles 30.25, 30.25, 30.25 degrees
Fractional positions:
Mn 0.000 0.000 0.000
Cu 0.177 0.177 0.177
H 0.394 0.394 0.394
H 0.608 0.608 0.608

Results
The crystal system is trigonal.


## iii
Here is MnCuH2 after structural relaxation from Alexandria via LeMat-Bulk. Energies are from GGA-PBE.

Cell lengths 5.012, 5.012, 5.012 Å; angles 32.20, 32.20, 32.20 degrees
Fractional positions:
Mn 0.000 0.000 0.000
Cu 0.500 0.500 0.500
H 0.382 0.382 0.382
H 0.618 0.618 0.618

Results
The crystal system is trigonal.


## iv
Here is MnCuH2 after structural relaxation from Alexandria via LeMat-Bulk. Energies are from GGA-PBE.

Cell lengths 3.536, 3.536, 3.536 Å; angles 60.00, 60.00, 60.00 degrees
Fractional positions:
Mn 0.000 0.000 0.000
Cu 0.500 0.500 0.500
H 0.250 0.250 0.250
H 0.750 0.750 0.750

Results
The crystal system is cubic.


Stability, descending: iii, ii, i, iv


## i
Here is MnCuMoH after structural relaxation from Alexandria via LeMat-Bulk. Energies are from GGA-PBE.

Cell lengths 4.637, 4.637, 2.646 Å; angles 103.58, 103.58, 49.66 degrees
Fractional positions:
Mn 0.000 0.000 0.000
Cu 0.332 0.332 0.342
Mo 0.658 0.658 0.705
H 0.843 0.843 0.363

Results
The crystal system is monoclinic.


## ii
Here is MnCuMoH after structural relaxation from Alexandria via LeMat-Bulk. Energies are from GGA-PBE.

Cell lengths 5.753, 5.753, 5.753 Å; angles 151.33, 151.33, 41.00 degrees
Fractional positions:
Mn 0.000 0.000 0.000
Cu 0.646 0.646 0.000
Mo 0.328 0.328 0.000
H 0.821 0.821 0.000

Results
The crystal system is tetragonal.


## iii
Here is MnCuMoH after structural relaxation from Alexandria via LeMat-Bulk. Energies are from GGA-PBE.

Cell lengths 4.968, 4.968, 3.051 Å; angles 107.34, 107.34, 36.11 degrees
Fractional positions:
Mn 0.000 0.000 0.000
Cu 0.672 0.672 0.658
Mo 0.363 0.363 0.370
H 0.171 0.171 0.944

Results
The crystal system is monoclinic.


## iv
Here is MnCuMoH after structural relaxation from Alexandria via LeMat-Bulk. Energies are from GGA-PBE.

Cell lengths 4.614, 4.614, 2.642 Å; angles 106.43, 106.43, 51.29 degrees
Fractional positions:
Mn 0.000 0.000 0.000
Cu 0.351 0.351 0.349
Mo 0.680 0.680 0.678
H 0.146 0.146 0.644

Results
The crystal system is monoclinic.


Stability, descending: iv, i, ii, iii


## i
Here is Mn2NbCuH after structural relaxation from Alexandria via LeMat-Bulk. Energies are from GGA-PBE.

Cell lengths 3.782, 3.782, 3.891 Å; angles 90.00, 90.00, 90.00 degrees
Fractional positions:
Mn 0.000 0.500 0.000
Mn 0.500 0.000 0.000
Nb 0.000 0.000 0.500
Cu 0.500 0.500 0.500
H 0.000 0.000 0.000

Results
The crystal system is tetragonal.


## ii
Here is Mn2NbCuH after structural relaxation from Alexandria via LeMat-Bulk. Energies are from GGA-PBE.

Cell lengths 3.926, 3.926, 3.566 Å; angles 90.00, 90.00, 90.00 degrees
Fractional positions:
Mn 0.000 0.500 0.000
Mn 0.500 0.000 0.000
Nb 0.000 0.000 0.500
Cu 0.500 0.500 0.500
H 0.500 0.500 0.000

Results
The crystal system is tetragonal.


Stability, descending: ii, i


## i
Here is MnNb2CuH after structural relaxation from Alexandria via LeMat-Bulk. Energies are from GGA-PBE.

Cell lengths 4.162, 4.162, 3.613 Å; angles 90.00, 90.00, 90.00 degrees
Fractional positions:
Mn 0.000 0.000 0.000
Nb 0.000 0.500 0.500
Nb 0.500 0.000 0.500
Cu 0.500 0.500 0.000
H 0.000 0.000 0.500

Results
The crystal system is tetragonal.


## ii
Here is MnNb2CuH after structural relaxation from Alexandria via LeMat-Bulk. Energies are from GGA-PBE.

Cell lengths 4.136, 4.136, 3.680 Å; angles 90.00, 90.00, 90.00 degrees
Fractional positions:
Mn 0.000 0.000 0.000
Nb 0.000 0.500 0.500
Nb 0.500 0.000 0.500
Cu 0.500 0.500 0.000
H 0.500 0.500 0.500

Results
The crystal system is tetragonal.


Stability, descending: i, ii